1.
Below is crystalline RbTbTeSe at its relaxed geometry, with properties calculated at the PBE level.

The total moment comes out at 0.0 μB/f.u. The calculation puts the raw total energy at -4.611 eV per atom.

The space group is R3m (No. 160, hexagonal axes) and the conventional cell measures 4.3853, 4.3853 and 24.8545 Å, with angles of 90.00, 90.00 and 120.00 degrees. The distinct sites, in fractional coordinates, are Rb at (0.0000, 0.0000, 0.0000), Tb at (0.0000, 0.0000, 0.4905), Te at (0.0000, 0.0000, 0.2297) and Se at (0.0000, 0.0000, 0.7641).



2.
Below is crystalline RbTbYSe3 at its relaxed geometry, with properties calculated at the PBE level.

The total moment comes out at 0.0 μB/f.u. The calculation puts the raw total energy at -5.293 eV per atom.

The space group is Pm (No. 6) and the conventional cell measures 4.542, 11.195 and 8.211 Å, with angles of 90.00, 105.87 and 90.00 degrees. The distinct sites, in fractional coordinates, are Rb at (0.000, 0.000, 0.000), Rb at (0.448, 0.500, 0.952), Tb at (0.187, 0.500, 0.410), Tb at (0.257, 0.000, 0.539), Y at (0.723, 0.250, 0.475), Se at (0.104, 0.292, 0.234), Se at (0.342, 0.208, 0.716), Se at (0.662, 0.000, 0.346) and Se at (0.782, 0.500, 0.603).



3.
Below is crystalline RbTc2Se4 at its relaxed geometry, with properties calculated at the PBE level.

The total moment comes out at 5.0 μB/f.u. The calculation puts the raw total energy at -5.229 eV per atom.

The space group is Fd-3m (No. 227, origin choice 2) and the conventional cell measures 11.556, 11.556 and 11.556 Å, with angles of 90.00, 90.00 and 90.00 degrees. The distinct sites, in fractional coordinates, are Rb at (0.125, 0.125, 0.125), Tc at (0.000, 0.000, 0.500) and Se at (0.026, 0.026, 0.724).



4.
Below is crystalline Rb2Tc3Se6 at its relaxed geometry, with properties calculated at the PBE level.

The total moment comes out at 0.0 μB/f.u. The calculation puts the raw total energy at -5.649 eV per atom.

The space group is C2/c (No. 15) and the conventional cell measures 17.784, 10.177 and 12.596 Å, with angles of 90.00, 91.37 and 90.00 degrees. The distinct sites, in fractional coordinates, are Rb at (0.000, 0.120, 0.250), Rb at (0.000, 0.280, 0.750), Rb at (0.112, 0.250, 0.019), Tc at (0.160, 0.343, 0.476), Tc at (0.210, 0.175, 0.623), Tc at (0.211, 0.110, 0.417), Se at (0.034, 0.463, 0.421), Se at (0.089, 0.132, 0.517), Se at (0.151, 0.080, 0.799), Se at (0.165, 0.404, 0.670), Se at (0.167, 0.281, 0.283) and Se at (0.240, 0.458, 0.936).



5.
Below is crystalline Rb2YTcSe6 at its relaxed geometry, with properties calculated at the PBE level.

The total moment comes out at 0.0 μB/f.u. The calculation puts the raw total energy at -4.669 eV per atom.

The space group is I4/m (No. 87) and the conventional cell measures 7.431, 7.431 and 10.519 Å, with angles of 90.00, 90.00 and 90.00 degrees. The distinct sites, in fractional coordinates, are Rb at (0.000, 0.500, 0.250), Y at (0.000, 0.000, 0.000), Tc at (0.000, 0.000, 0.500), Se at (0.000, 0.000, 0.263) and Se at (0.230, 0.755, 0.500).



6.
Below is crystalline Rb2ZrTcSe6 at its relaxed geometry, with properties calculated at the PBE level.

The total moment comes out at 2.0 μB/f.u. The calculation puts the raw total energy at -4.725 eV per atom.

The space group is C2/m (No. 12) and the conventional cell measures 15.424, 7.238 and 5.238 Å, with angles of 90.00, 90.15 and 90.00 degrees. The distinct sites, in fractional coordinates, are Rb at (0.211, 0.000, 0.196), Zr at (0.000, 0.500, 0.000), Tc at (0.000, 0.000, 0.500), Se at (0.087, 0.240, 0.717) and Se at (0.134, 0.500, 0.315).



7.
Below is crystalline RbTmTeSe at its relaxed geometry, with properties calculated at the PBE level.

The total moment comes out at 0.0 μB/f.u. The calculation puts the raw total energy at -4.544 eV per atom.

The space group is R3m (No. 160, hexagonal axes) and the conventional cell measures 4.3229, 4.3229 and 24.8190 Å, with angles of 90.00, 90.00 and 120.00 degrees. The distinct sites, in fractional coordinates, are Rb at (0.0000, 0.0000, 0.0000), Tm at (0.0000, 0.0000, 0.5095), Te at (0.0000, 0.0000, 0.7716) and Se at (0.0000, 0.0000, 0.2352).



8.
Below is crystalline Rb2TeWSe2 at its relaxed geometry, with properties calculated at the PBE level.

The total moment comes out at 1.1 μB/f.u. The calculation puts the raw total energy at -4.820 eV per atom.

The space group is P-1 (No. 2) and the conventional cell measures 7.385, 7.961 and 9.248 Å, with angles of 74.14, 68.62 and 65.67 degrees. The distinct sites, in fractional coordinates, are Rb at (0.090, 0.206, 0.131), Rb at (0.320, 0.576, 0.323), Te at (0.383, 0.811, 0.907), W at (0.384, 0.055, 0.654), Se at (0.182, 0.362, 0.718) and Se at (0.259, 0.967, 0.486).



9.
Below is crystalline Rb2ThSe3 at its relaxed geometry, with properties calculated at the PBE level.

The total moment comes out at 0.0 μB/f.u. The calculation puts the raw total energy at -4.880 eV per atom.

The space group is C2/m (No. 12) and the conventional cell measures 7.864, 13.609 and 8.443 Å, with angles of 90.00, 108.49 and 90.00 degrees. The distinct sites, in fractional coordinates, are Rb at (0.000, 0.000, 0.000), Rb at (0.000, 0.155, 0.500), Rb at (0.000, 0.500, 0.500), Th at (0.000, 0.332, 0.000), Se at (0.191, 0.500, 0.202) and Se at (0.240, 0.310, 0.795).



10.
Below is crystalline RbThTlSe3 at its relaxed geometry, with properties calculated at the PBE level.

The total moment comes out at 0.0 μB/f.u. The calculation puts the raw total energy at -4.793 eV per atom.

The space group is Cmcm (No. 63) and the conventional cell measures 4.344, 16.793 and 12.338 Å, with angles of 90.00, 90.00 and 90.00 degrees. The distinct sites, in fractional coordinates, are Rb at (0.000, 0.175, 0.250), Th at (0.000, 0.500, 0.000), Tl at (0.000, 0.129, 0.750), Se at (0.000, 0.114, 0.001) and Se at (0.000, 0.498, 0.250).



11.
Below is crystalline RbUTlSe3 at its relaxed geometry, with properties calculated at the PBE level.

The total moment comes out at 2.0 μB/f.u. The calculation puts the raw total energy at -5.130 eV per atom.

The space group is Cmcm (No. 63) and the conventional cell measures 4.250, 17.105 and 12.136 Å, with angles of 90.00, 90.00 and 90.00 degrees. The distinct sites, in fractional coordinates, are Rb at (0.000, 0.177, 0.250), U at (0.000, 0.500, 0.000), Tl at (0.000, 0.126, 0.750), Se at (0.000, 0.108, 0.004) and Se at (0.000, 0.500, 0.250).



12.
Below is crystalline RbTlWSe3 at its relaxed geometry, with properties calculated at the PBE level.

The total moment comes out at 1.9 μB/f.u. The calculation puts the raw total energy at -4.705 eV per atom.

The space group is Cmcm (No. 63) and the conventional cell measures 3.846, 17.187 and 11.480 Å, with angles of 90.00, 90.00 and 90.00 degrees. The distinct sites, in fractional coordinates, are Rb at (0.000, 0.179, 0.250), Tl at (0.000, 0.128, 0.750), W at (0.000, 0.500, 0.000), Se at (0.000, 0.099, 0.003) and Se at (0.000, 0.498, 0.250).